Entry from OQMD via LeMat-Bulk: an optimized crystal structure of Pa3F2 (PBE-GGA).

Properties
Energy = -7.63 eV per atom
Symmetry = R-3c, No. 167

Cell: 6.7457 6.7457 6.7457 Å, 53.51 53.51 53.51°
Sites, in units of the cell vectors:
1 Pa 0.1146 0.7500 0.3854
2 Pa 0.2500 0.6146 0.8854
3 Pa 0.3854 0.1146 0.7500
4 Pa 0.6146 0.8854 0.2500
5 Pa 0.7500 0.3854 0.1146
6 Pa 0.8854 0.2500 0.6146
7 F 0.1811 0.1811 0.1811
8 F 0.3189 0.3189 0.3189
9 F 0.6811 0.6811 0.6811
10 F 0.8189 0.8189 0.8189

=====

Entry from OQMD via LeMat-Bulk: an optimized crystal structure of BeSbW (PBE-GGA).

Properties
Excess energy over the best structure of this formula in the dataset = 0 kJ/mol of formula units
Symmetry = F-43m, No. 216

Cell: 4.1397 4.1397 4.1397 Å, 60.00 60.00 60.00°
Sites, in units of the cell vectors:
1 Be 0.0000 0.0000 0.0000
2 Sb 0.7500 0.7500 0.7500
3 W 0.2500 0.2500 0.2500

=====

Entry from OQMD via LeMat-Bulk: an optimized crystal structure of NdHfNO (PBE-GGA).

Properties
Excess energy over the best structure of this formula in the dataset = 5 kJ/mol of formula units
Symmetry = Pmc2_1, No. 26

Cell: 3.8803 6.4812 5.4395 Å, 90.00 90.00 90.00°
Sites, in units of the cell vectors:
1 Nd 0.0000 0.1605 0.0000
2 Nd 0.0000 0.8395 0.5000
3 Hf 0.5000 0.3238 0.5296
4 Hf 0.5000 0.6762 0.0296
5 N 0.5000 0.3829 0.9006
6 N 0.5000 0.6171 0.4006
7 O 0.0000 0.2172 0.5189
8 O 0.0000 0.7828 0.0189